# 1
Here is an optimized crystal structure of ScGeSe2N from Alexandria. Energies are from PBE.

abc: 5.2432 5.2432 4.1017
angles: 90.00 90.00 90.00
With the nearest neighbours (Å) after each atom.
Fractional positions:
Sc  0.0000  0.0000  0.0000  2 N 2.05
Ge  0.5000  0.5000  0.5000  8 Se 3.33, 4 N 3.71
Se  0.0000  0.5000  0.0000  2 Sc 2.62
Se  0.5000  0.0000  0.0000  2 Sc 2.62
N  0.0000  0.0000  0.5000  2 Sc 2.05

Results
Formation energy from raw total energies, kJ/mol of atoms: 5.1
Final energy, eV per atom: -5.20
Total moment, μB per formula unit: 1.9


# 2
Here is an optimized crystal structure of Sc4SiGeN from Alexandria. Energies are from PBE.

abc: 7.7322 7.7322 6.0032
angles: 90.00 90.00 134.32
With the nearest neighbours (Å) after each atom.
Fractional positions:
Sc  0.0000  0.5000  0.0000  2 N 2.12
Sc  0.0000  0.5000  0.5000  2 N 2.12
Sc  0.0849  0.9151  0.7500  1 N 2.35
Sc  0.4136  0.5864  0.7500  1 N 2.33
Sc  0.5000  0.0000  0.0000  2 N 2.12
Sc  0.5000  0.0000  0.5000  2 N 2.12
Sc  0.5864  0.4136  0.2500  1 N 2.33
Sc  0.9151  0.0849  0.2500  1 N 2.35
Si  0.1106  0.8894  0.2500  9 Sc 2.79-3.02
Si  0.8894  0.1106  0.7500  9 Sc 2.79-3.02
Ge  0.3912  0.6088  0.2500  9 Sc 2.78-3.02
Ge  0.6088  0.3912  0.7500  9 Sc 2.78-3.02
N  0.2501  0.7499  0.7500  6 Sc 2.12-2.35
N  0.7499  0.2501  0.2500  6 Sc 2.12-2.35

Results
Formation energy from raw total energies, kJ/mol of atoms: -101.6
Final energy, eV per atom: -7.29
Total moment, μB per formula unit: 0.0


# 3
Here is an optimized crystal structure of Sc4SnGeN from Alexandria. Energies are from PBE.

abc: 7.9432 7.9432 6.1209
angles: 90.00 90.00 134.71
With the nearest neighbours (Å) after each atom.
Fractional positions:
Sc  0.0000  0.5000  0.0000  2 N 2.16
Sc  0.0000  0.5000  0.5000  2 N 2.16
Sc  0.0876  0.9124  0.7500  1 N 2.34
Sc  0.4042  0.5958  0.7500  1 N 2.30
Sc  0.5000  0.0000  0.0000  2 N 2.16
Sc  0.5000  0.0000  0.5000  2 N 2.16
Sc  0.5958  0.4042  0.2500  1 N 2.30
Sc  0.9124  0.0876  0.2500  1 N 2.34
Sn  0.3970  0.6030  0.2500  9 Sc 2.91-3.07
Sn  0.6030  0.3970  0.7500  9 Sc 2.91-3.07
Ge  0.1111  0.8889  0.2500  9 Sc 2.91-3.08
Ge  0.8889  0.1111  0.7500  9 Sc 2.91-3.08
N  0.2476  0.7524  0.7500  6 Sc 2.16-2.34
N  0.7524  0.2476  0.2500  6 Sc 2.16-2.34

Results
Formation energy from raw total energies, kJ/mol of atoms: -101.1
Final energy, eV per atom: -7.09
Total moment, μB per formula unit: 0.0


# 4
Here is an optimized crystal structure of Sc2TcGeN from Alexandria. Energies are from PBE.

abc: 4.4463 4.4463 3.9363
angles: 90.00 90.00 90.00
With the nearest neighbours (Å) after each atom.
Fractional positions:
Sc  0.0000  0.5000  0.0000  2 N 2.22
Sc  0.5000  0.0000  0.0000  2 N 2.22
Tc  0.0000  0.0000  0.5000  2 N 1.97
Ge  0.5000  0.5000  0.5000  8 Sc 2.97, 4 Tc 3.14
N  0.0000  0.0000  0.0000  2 Tc 1.97

Results
Formation energy from raw total energies, kJ/mol of atoms: -78.2
Final energy, eV per atom: -8.01
Total moment, μB per formula unit: 0.0


# 5
Here is an optimized crystal structure of ScGeTeN2 from Alexandria. Energies are from PBE.

abc: 3.9337 3.9337 5.6166
angles: 90.00 90.00 90.00
With the nearest neighbours (Å) after each atom.
Fractional positions:
Sc  0.0000  0.0000  0.0000  4 Te 2.78
Ge  0.5000  0.5000  0.5000  4 N 1.97
Te  0.5000  0.5000  0.0000  4 Sc 2.78, 2 Ge 2.81
N  0.0000  0.5000  0.5000  2 Ge 1.97
N  0.5000  0.0000  0.5000  2 Ge 1.97

Results
Formation energy from raw total energies, kJ/mol of atoms: 66.9
Final energy, eV per atom: -5.46
Total moment, μB per formula unit: 0.6


# 6
Here is an optimized crystal structure of ScGeTeN2 from Alexandria. Energies are from PBE.

abc: 4.1698 4.1698 5.9386
angles: 90.00 90.00 90.00
With the nearest neighbours (Å) after each atom.
Fractional positions:
Sc  0.0000  0.0000  0.0000  4 N 2.08
Ge  0.5000  0.5000  0.5000  4 Te 2.95
Te  0.0000  0.0000  0.5000  4 Ge 2.95, 2 Sc 2.97
N  0.0000  0.5000  0.0000  2 Sc 2.08
N  0.5000  0.0000  0.0000  2 Sc 2.08

Results
Formation energy from raw total energies, kJ/mol of atoms: 64.5
Final energy, eV per atom: -5.48
Total moment, μB per formula unit: 1.5


# 7
Here is an optimized crystal structure of Sc2Ti2Ge2N from Alexandria. Energies are from PBE.

abc: 4.0376 4.0376 14.2946
angles: 90.00 90.00 90.00
With the nearest neighbours (Å) after each atom.
Fractional positions:
Sc  0.0000  0.0000  0.1636  1 N 2.34
Sc  0.0000  0.0000  0.8364  1 N 2.34
Sc  0.5000  0.5000  0.3364  1 N 2.34
Sc  0.5000  0.5000  0.6636  1 N 2.34
Ti  0.0000  0.5000  0.0000  2 N 2.02
Ti  0.0000  0.5000  0.5000  2 N 2.02
Ti  0.5000  0.0000  0.0000  2 N 2.02
Ti  0.5000  0.0000  0.5000  2 N 2.02
Ge  0.0000  0.0000  0.3634  4 Ti 2.81, 5 Sc 2.86-2.88
Ge  0.0000  0.0000  0.6366  4 Ti 2.81, 5 Sc 2.86-2.88
Ge  0.5000  0.5000  0.1366  4 Ti 2.81, 5 Sc 2.86-2.88
Ge  0.5000  0.5000  0.8634  4 Ti 2.81, 5 Sc 2.86-2.88
N  0.0000  0.0000  0.0000  4 Ti 2.02
N  0.5000  0.5000  0.5000  4 Ti 2.02

Results
Formation energy from raw total energies, kJ/mol of atoms: -104.1
Final energy, eV per atom: -7.65
Total moment, μB per formula unit: 0.0


# 8
Here is an optimized crystal structure of ScTi2GeN from Alexandria. Energies are from PBE.

abc: 4.0830 4.0830 4.4507
angles: 90.00 90.00 90.00
With the nearest neighbours (Å) after each atom.
Fractional positions:
Sc  0.0000  0.0000  0.0000  2 N 2.23
Ti  0.0000  0.5000  0.5000  2 N 2.04
Ti  0.5000  0.0000  0.5000  2 N 2.04
Ge  0.5000  0.5000  0.0000  4 Sc 2.89, 8 Ti 3.02
N  0.0000  0.0000  0.5000  4 Ti 2.04, 2 Sc 2.23

Results
Formation energy from raw total energies, kJ/mol of atoms: -96.0
Final energy, eV per atom: -8.01
Total moment, μB per formula unit: 0.0


# 9
Here is an optimized crystal structure of ScTl2GeN from Alexandria. Energies are from PBE.

abc: 5.9286 5.9286 3.8682
angles: 90.00 90.00 90.00
With the nearest neighbours (Å) after each atom.
Fractional positions:
Sc  0.0000  0.0000  0.0000  2 N 1.93
Tl  0.0000  0.5000  0.0000  2 Sc 2.96
Tl  0.5000  0.0000  0.0000  2 Sc 2.96
Ge  0.5000  0.5000  0.5000  8 Tl 3.54, 2 Ge 3.87
N  0.0000  0.0000  0.5000  2 Sc 1.93

Results
Formation energy from raw total energies, kJ/mol of atoms: 43.8
Final energy, eV per atom: -4.35
Total moment, μB per formula unit: 0.0


# 10
Here is an optimized crystal structure of Sc2V2Ge2N from Alexandria. Energies are from PBE.

abc: 3.9295 3.9295 14.0238
angles: 90.00 90.00 90.00
With the nearest neighbours (Å) after each atom.
Fractional positions:
Sc  0.0000  0.0000  0.1639  1 N 2.30
Sc  0.0000  0.0000  0.8361  1 N 2.30
Sc  0.5000  0.5000  0.3361  1 N 2.30
Sc  0.5000  0.5000  0.6639  1 N 2.30
V  0.0000  0.5000  0.0000  2 N 1.96
V  0.0000  0.5000  0.5000  2 N 1.96
V  0.5000  0.0000  0.0000  2 N 1.96
V  0.5000  0.0000  0.5000  2 N 1.96
Ge  0.0000  0.0000  0.3667  4 V 2.71, 5 Sc 2.81-2.84
Ge  0.0000  0.0000  0.6333  4 V 2.71, 5 Sc 2.81-2.84
Ge  0.5000  0.5000  0.1333  4 V 2.71, 5 Sc 2.81-2.84
Ge  0.5000  0.5000  0.8667  4 V 2.71, 5 Sc 2.81-2.84
N  0.0000  0.0000  0.0000  4 V 1.96
N  0.5000  0.5000  0.5000  4 V 1.96

Results
Formation energy from raw total energies, kJ/mol of atoms: -87.6
Final energy, eV per atom: -7.83
Total moment, μB per formula unit: 0.0


# 11
Here is an optimized crystal structure of YSc2GeN from Alexandria. Energies are from PBE.

abc: 4.3945 4.3945 4.7220
angles: 90.00 90.00 90.00
With the nearest neighbours (Å) after each atom.
Fractional positions:
Y  0.0000  0.0000  0.0000  2 N 2.36
Sc  0.0000  0.5000  0.5000  2 N 2.20
Sc  0.5000  0.0000  0.5000  2 N 2.20
Ge  0.5000  0.5000  0.0000  4 Y 3.11, 8 Sc 3.23
N  0.0000  0.0000  0.5000  4 Sc 2.20, 2 Y 2.36

Results
Formation energy from raw total energies, kJ/mol of atoms: -105.8
Final energy, eV per atom: -7.51
Total moment, μB per formula unit: 0.0


# 12
Here is an optimized crystal structure of Y2ScGeN from Alexandria. Energies are from PBE.

abc: 4.7557 4.7557 4.3620
angles: 90.00 90.00 90.00
With the nearest neighbours (Å) after each atom.
Fractional positions:
Y  0.0000  0.5000  0.0000  2 N 2.38
Y  0.5000  0.0000  0.0000  2 N 2.38
Sc  0.0000  0.0000  0.5000  2 N 2.18
Ge  0.5000  0.5000  0.5000  8 Y 3.23, 4 Sc 3.36
N  0.0000  0.0000  0.0000  2 Sc 2.18, 4 Y 2.38

Results
Formation energy from raw total energies, kJ/mol of atoms: -101.1
Final energy, eV per atom: -7.49
Total moment, μB per formula unit: 0.0


# 13
Here is an optimized crystal structure of ZrSc2GeN from Alexandria. Energies are from PBE.

abc: 4.3326 4.3326 4.5196
angles: 90.00 90.00 90.00
With the nearest neighbours (Å) after each atom.
Fractional positions:
Zr  0.0000  0.0000  0.0000  2 N 2.26
Sc  0.0000  0.5000  0.5000  2 N 2.17
Sc  0.5000  0.0000  0.5000  2 N 2.17
Ge  0.5000  0.5000  0.0000  4 Zr 3.06, 8 Sc 3.13
N  0.0000  0.0000  0.5000  4 Sc 2.17, 2 Zr 2.26

Results
Formation energy from raw total energies, kJ/mol of atoms: -100.7
Final energy, eV per atom: -7.87
Total moment, μB per formula unit: 0.0


# 14
Here is an optimized crystal structure of GeSe2N from Alexandria. Energies are from PBE.

abc: 6.3665 6.3665 6.3665
angles: 90.00 90.00 90.00
With the nearest neighbours (Å) after each atom.
Fractional positions:
Ge  0.0000  0.0000  0.0000  8 Se 2.76
Ge  0.0000  0.5000  0.5000  8 Se 2.76
Ge  0.5000  0.0000  0.5000  8 Se 2.76
Ge  0.5000  0.5000  0.0000  8 Se 2.76
Se  0.2500  0.2500  0.2500  4 Ge 2.76, 4 N 2.76
Se  0.2500  0.2500  0.7500  4 Ge 2.76, 4 N 2.76
Se  0.2500  0.7500  0.2500  4 Ge 2.76, 4 N 2.76
Se  0.2500  0.7500  0.7500  4 Ge 2.76, 4 N 2.76
Se  0.7500  0.2500  0.2500  4 Ge 2.76, 4 N 2.76
Se  0.7500  0.2500  0.7500  4 Ge 2.76, 4 N 2.76
Se  0.7500  0.7500  0.2500  4 Ge 2.76, 4 N 2.76
Se  0.7500  0.7500  0.7500  4 Ge 2.76, 4 N 2.76
N  0.0000  0.0000  0.5000  8 Se 2.76
N  0.0000  0.5000  0.0000  8 Se 2.76
N  0.5000  0.0000  0.0000  8 Se 2.76
N  0.5000  0.5000  0.5000  8 Se 2.76

Results
Formation energy from raw total energies, kJ/mol of atoms: 130.6
Final energy, eV per atom: -3.62
Total moment, μB per formula unit: 0.0


# 15
Here is an optimized crystal structure of GeSe2N from Alexandria. Energies are from PBE.

abc: 5.4623 5.4623 11.7564
angles: 90.00 90.00 90.00
With the nearest neighbours (Å) after each atom.
Fractional positions:
Ge  0.0000  0.0000  0.0000  4 Se 2.78
Ge  0.0000  0.5000  0.2500  4 Se 2.78
Ge  0.5000  0.0000  0.7500  4 Se 2.78
Ge  0.5000  0.5000  0.5000  4 Se 2.78
Se  0.1487  0.2500  0.6250  2 N 2.16
Se  0.2500  0.6487  0.8750  2 N 2.16
Se  0.2500  0.8513  0.3750  2 N 2.16
Se  0.3513  0.2500  0.1250  2 N 2.16
Se  0.6487  0.7500  0.1250  2 N 2.16
Se  0.7500  0.1487  0.3750  2 N 2.16
Se  0.7500  0.3513  0.8750  2 N 2.16
Se  0.8513  0.7500  0.6250  2 N 2.16
N  0.0000  0.0000  0.5000  4 Se 2.16
N  0.0000  0.5000  0.7500  4 Se 2.16
N  0.5000  0.0000  0.2500  4 Se 2.16
N  0.5000  0.5000  0.0000  4 Se 2.16

Results
Formation energy from raw total energies, kJ/mol of atoms: 82.4
Final energy, eV per atom: -4.12
Total moment, μB per formula unit: 0.0


# 16
Here is an optimized crystal structure of GeSe2N from Alexandria. Energies are from PBE.

abc: 16.9442 3.8174 6.2551
angles: 90.00 109.74 90.00
With the nearest neighbours (Å) after each atom.
Fractional positions:
Ge  0.2324  0.0000  0.2552  3 Se 2.50-2.61
Ge  0.2676  0.5000  0.7448  3 Se 2.50-2.61
Ge  0.7324  0.5000  0.2552  3 Se 2.50-2.61
Ge  0.7676  0.0000  0.7448  3 Se 2.50-2.61
Se  0.0944  0.5000  0.9961  1 N 1.70
Se  0.1629  0.0000  0.5504  3 Ge 2.50-2.61
Se  0.3371  0.5000  0.4496  3 Ge 2.50-2.61
Se  0.4056  0.0000  0.0039  1 N 1.70
Se  0.5944  0.0000  0.9961  1 N 1.70
Se  0.6629  0.5000  0.5504  3 Ge 2.50-2.61
Se  0.8371  0.0000  0.4496  3 Ge 2.50-2.61
Se  0.9056  0.5000  0.0039  1 N 1.70
N  0.0679  0.5000  0.2350  1 Se 1.70
N  0.4321  0.0000  0.7650  1 Se 1.70
N  0.5679  0.0000  0.2350  1 Se 1.70
N  0.9321  0.5000  0.7650  1 Se 1.70

Results
Formation energy from raw total energies, kJ/mol of atoms: 56.5
Final energy, eV per atom: -4.39
Total moment, μB per formula unit: 0.0


# 17
Here is an optimized crystal structure of GeSe2N from Alexandria. Energies are from PBE.

abc: 3.1272 3.1272 25.4207
angles: 90.00 90.00 120.00
With the nearest neighbours (Å) after each atom.
Fractional positions:
Ge  0.0000  0.0000  0.0000  2 Se 2.77
Ge  0.3333  0.6667  0.6667  2 Se 2.77
Ge  0.6667  0.3333  0.3333  2 Se 2.77
Se  0.0000  0.0000  0.1090  3 N 2.33
Se  0.0000  0.0000  0.8910  3 N 2.33
Se  0.3333  0.6667  0.5577  3 N 2.33
Se  0.3333  0.6667  0.7756  3 N 2.33
Se  0.6667  0.3333  0.2244  3 N 2.33
Se  0.6667  0.3333  0.4423  3 N 2.33
N  0.0000  0.0000  0.5000  6 Se 2.33
N  0.3333  0.6667  0.1667  6 Se 2.33
N  0.6667  0.3333  0.8333  6 Se 2.33

Results
Formation energy from raw total energies, kJ/mol of atoms: 105.4
Final energy, eV per atom: -3.89
Total moment, μB per formula unit: 0.0


# 18
Here is an optimized crystal structure of GeSe2N from Alexandria. Energies are from PBE.

abc: 4.0711 4.0711 20.0271
angles: 90.00 90.00 120.00
With the nearest neighbours (Å) after each atom.
Fractional positions:
Ge  0.0000  0.0000  0.0000  6 Se 2.83
Ge  0.3333  0.6667  0.6667  6 Se 2.83
Ge  0.6667  0.3333  0.3333  6 Se 2.83
Se  0.0000  0.0000  0.4122  1 N 1.76
Se  0.0000  0.0000  0.5878  1 N 1.76
Se  0.3333  0.6667  0.0789  1 N 1.76
Se  0.3333  0.6667  0.2545  1 N 1.76
Se  0.6667  0.3333  0.7455  1 N 1.76
Se  0.6667  0.3333  0.9211  1 N 1.76
N  0.0000  0.0000  0.5000  2 Se 1.76
N  0.3333  0.6667  0.1667  2 Se 1.76
N  0.6667  0.3333  0.8333  2 Se 1.76

Results
Formation energy from raw total energies, kJ/mol of atoms: 72.3
Final energy, eV per atom: -4.23
Total moment, μB per formula unit: 0.0


# 19
Here is an optimized crystal structure of GeSe3N from Alexandria. Energies are from PBE.

abc: 4.4744 4.4744 4.4744
angles: 90.00 90.00 90.00
With the nearest neighbours (Å) after each atom.
Fractional positions:
Ge  0.0000  0.0000  0.0000  12 Se 3.16
Se  0.0000  0.5000  0.5000  2 N 2.24
Se  0.5000  0.0000  0.5000  2 N 2.24
Se  0.5000  0.5000  0.0000  2 N 2.24
N  0.5000  0.5000  0.5000  6 Se 2.24

Results
Formation energy from raw total energies, kJ/mol of atoms: 78.5
Final energy, eV per atom: -3.87
Total moment, μB per formula unit: 0.0


# 20
Here is an optimized crystal structure of Ge2SeN2 from Alexandria. Energies are from PBE.

abc: 6.3738 6.3738 5.1884
angles: 90.00 90.00 55.23
With the nearest neighbours (Å) after each atom.
Fractional positions:
Ge  0.0341  0.3338  0.0000  3 N 1.85-1.89
Ge  0.3338  0.0341  0.5000  3 N 1.85-1.89
Ge  0.6662  0.9659  0.0000  3 N 1.85-1.89
Ge  0.9659  0.6662  0.5000  3 N 1.85-1.89
Se  0.2900  0.7100  0.3410  2 Ge 2.38
Se  0.7100  0.2900  0.8410  2 Ge 2.38
N  0.0906  0.3468  0.3476  3 Ge 1.85-1.89
N  0.3468  0.0906  0.8476  3 Ge 1.85-1.89
N  0.6532  0.9094  0.3476  3 Ge 1.85-1.89
N  0.9094  0.6532  0.8476  3 Ge 1.85-1.89

Results
Formation energy from raw total energies, kJ/mol of atoms: -4.7
Final energy, eV per atom: -5.92
Total moment, μB per formula unit: 0.0